Entry 1:
VASP calculation (meta-GGA SCAN) on a PBEsol-optimized structure of MgIn2Hg.

Summary:
DFT formation energy   -76 meV per atom
Fermi-level density of states   0.38 states/eV/atom
Crystal system   monoclinic

abc: 5.5372 5.5372 5.2751
angles: 99.61 99.61 35.66
Positions (direct):
Mg: 0.0000 0.0000 0.0000
In: 0.2517 0.2517 0.7511
In: 0.7483 0.7483 0.2489
Hg: 0.5000 0.5000 0.5000


Entry 2:
VASP calculation (meta-GGA SCAN) on a PBEsol-optimized structure of MgIn2Hg.

Summary:
DFT formation energy   -59 meV per atom
Fermi-level density of states   0.37 states/eV/atom
Crystal system   orthorhombic

abc: 5.9762 5.9762 5.9762
angles: 145.14 128.53 63.67
Positions (direct):
Mg: 0.0000 0.0000 0.0000
In: 0.2533 0.7533 0.5000
In: 0.5207 0.5207 0.0000
Hg: 0.7738 0.2738 0.5000


Entry 3:
VASP calculation (meta-GGA SCAN) on a PBEsol-optimized structure of MgIn2Hg.

Summary:
DFT formation energy   -93 meV per atom
Fermi-level density of states   0.34 states/eV/atom
Crystal system   tetragonal

abc: 5.7471 5.7471 5.7471
angles: 135.51 135.51 64.74
Positions (direct):
Mg: 0.0000 0.0000 0.0000
In: 0.2500 0.7500 0.5000
In: 0.7500 0.2500 0.5000
Hg: 0.5000 0.5000 0.0000


Entry 4:
VASP calculation (meta-GGA SCAN) on a PBEsol-optimized structure of Mg2InHg.

Summary:
DFT formation energy   -248 meV per atom
Fermi-level density of states   0.31 states/eV/atom
Crystal system   tetragonal

abc: 4.4946 4.4946 4.2190
angles: 90.00 90.00 90.00
Positions (direct):
Mg: 0.0000 0.5000 0.0000
Mg: 0.5000 0.0000 0.0000
In: 0.0000 0.0000 0.5000
Hg: 0.5000 0.5000 0.5000


Entry 5:
VASP calculation (meta-GGA SCAN) on a PBEsol-optimized structure of Mg2InHg.

Summary:
DFT formation energy   -209 meV per atom
Fermi-level density of states   0.39 states/eV/atom
Crystal system   monoclinic

abc: 5.5546 5.5546 4.9863
angles: 103.30 103.30 36.04
Positions (direct):
Mg: 0.0000 0.0000 0.0000
Mg: 0.2347 0.2347 0.6679
In: 0.7504 0.7504 0.1773
Hg: 0.4944 0.4944 0.5107


Entry 6:
VASP calculation (meta-GGA SCAN) on a PBEsol-optimized structure of MgIn2Hg.

Summary:
DFT formation energy   -95 meV per atom
Fermi-level density of states   0.33 states/eV/atom
Crystal system   tetragonal

abc: 4.4598 4.4598 4.6310
angles: 90.00 90.00 90.00
Positions (direct):
Mg: 0.0000 0.0000 0.0000
In: 0.0000 0.5000 0.5000
In: 0.5000 0.0000 0.5000
Hg: 0.5000 0.5000 0.0000


Entry 7:
VASP calculation (meta-GGA SCAN) on a PBEsol-optimized structure of MgInTcHg2.

Summary:
DFT formation energy   1035 meV per atom
Fermi-level density of states   0.60 states/eV/atom
Crystal system   tetragonal

abc: 5.0154 5.0154 5.2638
angles: 90.00 90.00 90.00
Positions (direct):
Mg: 0.0000 0.0000 0.0000
In: 0.0000 0.0000 0.5000
Tc: 0.5000 0.5000 0.5000
Hg: 0.0000 0.5000 0.0000
Hg: 0.5000 0.0000 0.0000


Entry 8:
VASP calculation (meta-GGA SCAN) on a PBEsol-optimized structure of Mn2InHg.

Summary:
DFT formation energy   -20 meV per atom
Fermi-level density of states   0.65 states/eV/atom
Excess energy over the best structure of this formula in the dataset   0.000 eV per atom
Crystal system   orthorhombic

abc: 4.8109 4.8109 2.9621
angles: 90.00 90.00 106.02
Positions (direct):
Mn: 0.0000 0.5000 0.0000
Mn: 0.5000 0.0000 0.0000
In: 0.0000 0.0000 0.5000
Hg: 0.5000 0.5000 0.5000


Entry 9:
VASP calculation (meta-GGA SCAN) on a PBEsol-optimized structure of MnInHg3.

Summary:
DFT formation energy   250 meV per atom
Fermi-level density of states   0.85 states/eV/atom
Crystal system   cubic

abc: 5.0939 5.0939 5.0939
angles: 90.00 90.00 90.00
Positions (direct):
Mn: 0.0000 0.0000 0.0000
In: 0.5000 0.5000 0.5000
Hg: 0.0000 0.0000 0.5000
Hg: 0.0000 0.5000 0.0000
Hg: 0.5000 0.0000 0.0000


Entry 10:
VASP calculation (meta-GGA SCAN) on a PBEsol-optimized structure of MnInHg2.

Summary:
DFT formation energy   90 meV per atom
Fermi-level density of states   0.45 states/eV/atom
Crystal system   monoclinic

abc: 5.9563 5.9563 3.1474
angles: 104.19 104.19 121.60
Positions (direct):
Mn: 0.0000 0.0000 0.0000
In: 0.5000 0.5000 0.0000
Hg: 0.0000 0.5000 0.0000
Hg: 0.5000 0.0000 0.0000


Entry 11:
VASP calculation (meta-GGA SCAN) on a PBEsol-optimized structure of Mn2InHg.

Summary:
DFT formation energy   45 meV per atom
Fermi-level density of states   0.54 states/eV/atom
Excess energy over the best structure of this formula in the dataset   0.065 eV per atom
Crystal system   trigonal

abc: 8.9824 8.9824 8.9824
angles: 19.47 19.47 19.47
Positions (direct):
Mn: 0.2504 0.2504 0.2504
Mn: 0.7496 0.7496 0.7496
In: 0.5000 0.5000 0.5000
Hg: 0.0000 0.0000 0.0000


Entry 12:
VASP calculation (meta-GGA SCAN) on a PBEsol-optimized structure of MnInHg2.

Summary:
DFT formation energy   -8 meV per atom
Fermi-level density of states   0.35 states/eV/atom
Crystal system   orthorhombic

abc: 6.6178 6.6178 6.6178
angles: 153.78 139.04 49.29
Positions (direct):
Mn: 0.0000 0.0000 0.0000
In: 0.8029 0.3029 0.5000
Hg: 0.1937 0.6937 0.5000
Hg: 0.4942 0.4942 0.0000